1.
First-principles (PBE) data for an optimized crystal structure of SrYFe2S, as listed in the Alexandria database.

a b c (Å): 4.5065 4.5065 6.5617
angles (deg): 90.00 90.00 90.00
Fractional coordinates of all 5 atoms:
Sr  0.0000  0.0000  0.0000
Y  0.0000  0.0000  0.5000
Fe  0.0000  0.5000  0.0000
Fe  0.5000  0.0000  0.0000
S  0.5000  0.5000  0.5000

Calculated values
Its volume is 26.652 A^3/atom. For the formation energy (no corrections), the calculation gives 1.644 eV per atom. The calculation puts the calculated total energy at -21.0 eV/cell.

---

2.
First-principles (PBE) data for an optimized crystal structure of LiEr2Hf, as listed in the Alexandria database.

a b c (Å): 3.3814 3.3814 8.9681
angles (deg): 90.00 90.00 90.00
Fractional coordinates of all 4 atoms:
Li  0.0000  0.0000  0.0000
Er  0.5000  0.5000  0.2536
Er  0.5000  0.5000  0.7464
Hf  0.0000  0.0000  0.5000

Calculated values
Its formation energy is 0.093 eV per atom. Its volume is 25.635 A^3/atom. Its excess energy over the best structure of this formula in the dataset is 0.000 kcal/mol of atoms. The calculation puts the calculated total energy at -20.6 eV/cell.

---

3.
First-principles (PBE) data for an optimized crystal structure of Sc4CuNi2, as listed in the Alexandria database.

a b c (Å): 7.6655 7.6655 7.6655
angles (deg): 34.20 34.20 34.20
Fractional coordinates of all 7 atoms:
Sc  0.1208  0.1208  0.1208
Sc  0.3717  0.3717  0.3717
Sc  0.6283  0.6283  0.6283
Sc  0.8792  0.8792  0.8792
Cu  0.5000  0.5000  0.5000
Ni  0.2468  0.2468  0.2468
Ni  0.7532  0.7532  0.7532

Calculated values
Its formation energy is -0.319 eV per atom. Its volume is 18.131 A^3/atom. The calculation puts the calculated total energy at -43.2 eV/cell.

---

4.
First-principles (PBE) data for an optimized crystal structure of Tl3CdHg12, as listed in the Alexandria database.

a b c (Å): 4.5402 4.5402 21.5316
angles (deg): 90.00 90.00 90.00
Fractional coordinates of all 16 atoms:
Tl  0.0000  0.0000  0.0000
Tl  0.0000  0.0000  0.2614
Tl  0.0000  0.0000  0.7386
Cd  0.0000  0.0000  0.5000
Hg  0.0000  0.5000  0.1282
Hg  0.0000  0.5000  0.3834
Hg  0.0000  0.5000  0.6166
Hg  0.0000  0.5000  0.8718
Hg  0.5000  0.0000  0.1282
Hg  0.5000  0.0000  0.3834
Hg  0.5000  0.0000  0.6166
Hg  0.5000  0.0000  0.8718
Hg  0.5000  0.5000  0.0000
Hg  0.5000  0.5000  0.2490
Hg  0.5000  0.5000  0.5000
Hg  0.5000  0.5000  0.7510

Calculated values
Its formation energy is -0.011 eV per atom. Its volume is 27.740 A^3/atom. The calculation puts the calculated total energy at -11.8 eV/cell.